Record 1
A plane-wave DFT calculation with PBE was carried out for crystalline Er3Zr5Te12 at its relaxed geometry. Values from VASP.

Calculated values
- Total magnetic moment: 4.6 μB per formula unit
- DOS(E_F): 58.7 states/eV per cell
- E_form (uncorrected): -0.7036 eV per atom

Quantum ESPRESSO input file:
```
&SYSTEM
  ibrav = 0, nat = 80, ntyp = 3
/
ATOMIC_SPECIES
Er 167.26 Er.upf
Zr 91.22 Zr.upf
Te 127.60 Te.upf
ATOMIC_POSITIONS crystal
Er 0.125 0.250 0.375
Er 0.125 0.375 0.750
Er 0.250 0.375 0.125
Er 0.250 0.875 0.625
Er 0.375 0.125 0.250
Er 0.375 0.750 0.125
Er 0.625 0.250 0.875
Er 0.625 0.875 0.750
Er 0.750 0.125 0.375
Er 0.750 0.625 0.875
Er 0.875 0.625 0.250
Er 0.875 0.750 0.625
Zr 0.000 0.000 0.000
Zr 0.000 0.000 0.500
Zr 0.000 0.500 0.000
Zr 0.000 0.500 0.500
Zr 0.125 0.750 0.875
Zr 0.125 0.875 0.250
Zr 0.250 0.125 0.875
Zr 0.250 0.625 0.375
Zr 0.375 0.250 0.625
Zr 0.375 0.625 0.750
Zr 0.500 0.000 0.000
Zr 0.500 0.000 0.500
Zr 0.500 0.500 0.000
Zr 0.500 0.500 0.500
Zr 0.625 0.375 0.250
Zr 0.625 0.750 0.375
Zr 0.750 0.375 0.625
Zr 0.750 0.875 0.125
Zr 0.875 0.125 0.750
Zr 0.875 0.250 0.125
Te 0.046 0.221 0.126
Te 0.046 0.325 0.920
Te 0.080 0.626 0.405
Te 0.080 0.954 0.675
Te 0.095 0.721 0.675
Te 0.095 0.874 0.420
Te 0.126 0.046 0.221
Te 0.126 0.580 0.905
Te 0.175 0.221 0.595
Te 0.175 0.454 0.580
Te 0.221 0.126 0.046
Te 0.221 0.595 0.175
Te 0.279 0.325 0.905
Te 0.279 0.454 0.374
Te 0.325 0.905 0.279
Te 0.325 0.920 0.046
Te 0.374 0.279 0.454
Te 0.374 0.595 0.920
Te 0.405 0.080 0.626
Te 0.405 0.825 0.779
Te 0.420 0.095 0.874
Te 0.420 0.825 0.546
Te 0.454 0.374 0.279
Te 0.454 0.580 0.175
Te 0.546 0.420 0.825
Te 0.546 0.626 0.721
Te 0.580 0.175 0.454
Te 0.580 0.905 0.126
Te 0.595 0.175 0.221
Te 0.595 0.920 0.374
Te 0.626 0.405 0.080
Te 0.626 0.721 0.546
Te 0.675 0.080 0.954
Te 0.675 0.095 0.721
Te 0.721 0.546 0.626
Te 0.721 0.675 0.095
Te 0.779 0.405 0.825
Te 0.779 0.874 0.954
Te 0.825 0.546 0.420
Te 0.825 0.779 0.405
Te 0.874 0.420 0.095
Te 0.874 0.954 0.779
Te 0.905 0.126 0.580
Te 0.905 0.279 0.325
Te 0.920 0.046 0.325
Te 0.920 0.374 0.595
Te 0.954 0.675 0.080
Te 0.954 0.779 0.874
CELL_PARAMETERS angstrom
-8.777 8.777 8.777
8.777 -8.777 8.777
8.777 8.777 -8.777
```


Record 2
A plane-wave DFT calculation with PBE was carried out for crystalline CaSmTl at its relaxed geometry. Values from VASP.

Calculated values
- Total magnetic moment: 0.0 μB per formula unit
- Energy relative to the lowest polymorph listed for this composition: 189 meV per atom
- DOS(E_F): 1.3 states/eV per cell
- ΔE_f: -0.166 eV per atom

Quantum ESPRESSO input file:
```
&SYSTEM
  ibrav = 0, nat = 3, ntyp = 3
/
ATOMIC_SPECIES
Ca 40.08 Ca.upf
Sm 150.36 Sm.upf
Tl 204.38 Tl.upf
ATOMIC_POSITIONS crystal
Ca 0.000 0.000 0.000
Sm 0.500 0.500 0.500
Tl 0.250 0.250 0.250
CELL_PARAMETERS angstrom
0.000 3.760 3.760
3.760 0.000 3.760
3.760 3.760 0.000
```


Record 3
A plane-wave DFT calculation with PBE was carried out for crystalline LaGaI3 at its relaxed geometry. Values from VASP.

Calculated values
- Total magnetic moment: 0.0 μB per formula unit
- DOS(E_F): 9.6 states/eV per cell
- E_form (uncorrected): -0.7345 eV per atom

Quantum ESPRESSO input file:
```
&SYSTEM
  ibrav = 0, nat = 5, ntyp = 3
/
ATOMIC_SPECIES
La 138.91 La.upf
Ga 69.72 Ga.upf
I 126.90 I.upf
ATOMIC_POSITIONS crystal
La 0.000 0.000 0.000
Ga 0.500 0.500 0.500
I 0.000 0.000 0.500
I 0.000 0.500 0.000
I 0.500 0.000 0.000
CELL_PARAMETERS angstrom
6.272 0.000 0.000
0.000 6.272 0.000
0.000 0.000 6.272
```


Record 4
A plane-wave DFT calculation with PBE was carried out for crystalline OsRu2Cl at its relaxed geometry. Values from VASP.

Calculated values
- Total magnetic moment: 0.0 μB per formula unit
- Energy relative to the lowest polymorph listed for this composition: 480 meV per atom
- DOS(E_F): 5.1 states/eV per cell
- E_form (uncorrected): 0.8822 eV per atom

Quantum ESPRESSO input file:
```
&SYSTEM
  ibrav = 0, nat = 4, ntyp = 3
/
ATOMIC_SPECIES
Os 190.23 Os.upf
Ru 101.07 Ru.upf
Cl 35.45 Cl.upf
ATOMIC_POSITIONS crystal
Os 0.000 0.000 0.000
Ru 0.258 0.758 0.500
Ru 0.544 0.544 0.000
Cl 0.769 0.269 0.500
CELL_PARAMETERS angstrom
-1.416 2.235 4.520
1.416 -2.235 4.520
1.416 2.235 -4.520
```


Record 5
A plane-wave DFT calculation with PBE was carried out for crystalline Sm3Dy4Er2 at its relaxed geometry. Values from VASP.

Calculated values
- Total magnetic moment: 0.0 μB per formula unit
- DOS(E_F): 26.0 states/eV per cell
- ΔE_f: 0.101 eV per atom

Quantum ESPRESSO input file:
```
&SYSTEM
  ibrav = 0, nat = 18, ntyp = 3
/
ATOMIC_SPECIES
Sm 150.36 Sm.upf
Dy 162.50 Dy.upf
Er 167.26 Er.upf
ATOMIC_POSITIONS crystal
Sm 0.099 0.901 0.750
Sm 0.233 0.433 0.919
Sm 0.433 0.233 0.419
Sm 0.567 0.767 0.581
Sm 0.767 0.567 0.081
Sm 0.901 0.099 0.250
Dy 0.075 0.351 0.349
Dy 0.314 0.591 0.485
Dy 0.351 0.075 0.849
Dy 0.409 0.686 0.015
Dy 0.591 0.314 0.985
Dy 0.649 0.925 0.151
Dy 0.686 0.409 0.515
Dy 0.925 0.649 0.651
Er 0.019 0.743 0.183
Er 0.257 0.981 0.317
Er 0.743 0.019 0.683
Er 0.981 0.257 0.817
CELL_PARAMETERS angstrom
8.226 -5.786 0.000
8.226 5.786 0.000
-0.703 0.000 6.037
```


Record 6
A plane-wave DFT calculation with PBE was carried out for crystalline PrSm3Ga2 at its relaxed geometry. Values from VASP.

Calculated values
- Total magnetic moment: 0.0 μB per formula unit
- Energy relative to the lowest polymorph listed for this composition: 54 meV per atom
- DOS(E_F): 11.5 states/eV per cell
- ΔE_f: -0.339 eV per atom

Quantum ESPRESSO input file:
```
&SYSTEM
  ibrav = 0, nat = 12, ntyp = 3
/
ATOMIC_SPECIES
Pr 140.91 Pr.upf
Sm 150.36 Sm.upf
Ga 69.72 Ga.upf
ATOMIC_POSITIONS crystal
Pr 0.119 0.119 0.147
Pr 0.881 0.881 0.853
Sm 0.047 0.047 0.692
Sm 0.319 0.319 0.069
Sm 0.352 0.352 0.523
Sm 0.648 0.648 0.477
Sm 0.681 0.681 0.931
Sm 0.953 0.953 0.308
Ga 0.228 0.228 0.706
Ga 0.500 0.500 0.142
Ga 0.500 0.500 0.858
Ga 0.772 0.772 0.294
CELL_PARAMETERS angstrom
8.842 -2.325 0.000
8.842 2.325 0.000
-3.672 0.000 8.366
```


Record 7
A plane-wave DFT calculation with PBE was carried out for crystalline SrHoHg3 at its relaxed geometry. Values from VASP.

Calculated values
- Total magnetic moment: 0.0 μB per formula unit
- DOS(E_F): 6.6 states/eV per cell
- ΔE_f: -0.457 eV per atom

Quantum ESPRESSO input file:
```
&SYSTEM
  ibrav = 0, nat = 10, ntyp = 3
/
ATOMIC_SPECIES
Sr 87.62 Sr.upf
Ho 164.93 Ho.upf
Hg 200.59 Hg.upf
ATOMIC_POSITIONS crystal
Sr 0.078 0.922 0.750
Sr 0.922 0.078 0.250
Ho 0.210 0.790 0.250
Ho 0.790 0.210 0.750
Hg 0.313 0.687 0.250
Hg 0.374 0.626 0.750
Hg 0.474 0.526 0.750
Hg 0.526 0.474 0.250
Hg 0.626 0.374 0.250
Hg 0.687 0.313 0.750
CELL_PARAMETERS angstrom
1.919 -14.793 0.000
1.919 14.793 0.000
0.000 0.000 4.934
```


Record 8
A plane-wave DFT calculation with PBE was carried out for crystalline Tb3YN3 at its relaxed geometry. Values from VASP.

Calculated values
- Total magnetic moment: 0.0 μB per formula unit
- DOS(E_F): 2.6 states/eV per cell
- E_form (uncorrected): -1.3683 eV per atom

Quantum ESPRESSO input file:
```
&SYSTEM
  ibrav = 0, nat = 7, ntyp = 3
/
ATOMIC_SPECIES
Tb 158.93 Tb.upf
Y 88.91 Y.upf
N 14.01 N.upf
ATOMIC_POSITIONS crystal
Tb 0.000 0.000 0.500
Tb 0.000 0.500 0.000
Tb 0.500 0.000 0.000
Y 0.500 0.500 0.500
N 0.000 0.500 0.500
N 0.500 0.000 0.500
N 0.500 0.500 0.000
CELL_PARAMETERS angstrom
4.935 0.000 0.000
0.000 4.935 0.000
0.000 0.000 4.935
```


Record 9
A plane-wave DFT calculation with PBE was carried out for crystalline K4Tl at its relaxed geometry. Values from VASP.

Calculated values
- Total magnetic moment: 0.0 μB per formula unit
- Energy relative to the lowest polymorph listed for this composition: 0 meV per atom
- DOS(E_F): 6.0 states/eV per cell
- ΔE_f: -0.027 eV per atom

Quantum ESPRESSO input file:
```
&SYSTEM
  ibrav = 0, nat = 10, ntyp = 2
/
ATOMIC_SPECIES
K 39.10 K.upf
Tl 204.38 Tl.upf
ATOMIC_POSITIONS crystal
K 0.080 0.669 0.749
K 0.176 0.143 0.318
K 0.324 0.643 0.967
K 0.420 0.169 0.589
K 0.580 0.831 0.411
K 0.676 0.357 0.033
K 0.824 0.857 0.682
K 0.920 0.331 0.251
Tl 0.250 0.250 0.000
Tl 0.750 0.750 0.000
CELL_PARAMETERS angstrom
-4.579 9.147 3.436
4.579 -9.147 3.436
4.579 9.147 -3.436
```


Record 10
A plane-wave DFT calculation with PBE was carried out for crystalline MgScNi at its relaxed geometry. Values from VASP.

Calculated values
- Total magnetic moment: 0.0 μB per formula unit
- DOS(E_F): 2.9 states/eV per cell
- ΔE_f: 0.468 eV per atom

Quantum ESPRESSO input file:
```
&SYSTEM
  ibrav = 0, nat = 3, ntyp = 3
/
ATOMIC_SPECIES
Mg 24.30 Mg.upf
Sc 44.96 Sc.upf
Ni 58.69 Ni.upf
ATOMIC_POSITIONS crystal
Mg 0.000 0.000 0.000
Sc 0.750 0.750 0.750
Ni 0.500 0.500 0.500
CELL_PARAMETERS angstrom
0.000 3.167 3.167
3.167 0.000 3.167
3.167 3.167 0.000
```


Question: Look up the total magnetic moment of the seventh one.
Answer: 0.0 μB per formula unit